# 1
Compound: NaCdSn2Cl6
Source: Alexandria via LeMat-Bulk
Functional: PBE
Structure: optimized geometry

Structure (CIF):
```
data_NaCdSn2Cl6
_cell_length_a 7.290
_cell_length_b 7.472
_cell_length_c 7.517
_cell_angle_alpha 92.23
_cell_angle_beta 116.80
_cell_angle_gamma 119.16
_space_group_name_H-M_alt 'P 1'
_space_group_IT_number 1
loop_
_space_group_symop_operation_xyz
'x,y,z'
loop_
_atom_site_label
_atom_site_fract_x
_atom_site_fract_y
_atom_site_fract_z
Na1 0.000 0.000 0.000
Cd1 0.740 0.127 0.361
Sn1 0.344 0.059 0.684
Sn2 0.434 0.636 0.283
Cl1 0.137 0.255 0.748
Cl2 0.164 0.797 0.860
Cl3 0.504 0.309 0.347
Cl4 0.511 0.744 0.649
Cl5 0.931 0.310 0.140
Cl6 0.936 0.816 0.310
```

Computed properties:
Formation energy without anion corrections in eV/f.u.: -10.30
Total moment in μB per atom: 0.00

# 2
Compound: NaSrCdCl2
Source: Alexandria via LeMat-Bulk
Functional: PBE
Structure: optimized geometry

Structure (CIF):
```
data_NaSrCdCl2
_cell_length_a 5.501
_cell_length_b 5.501
_cell_length_c 8.630
_cell_angle_alpha 90.00
_cell_angle_beta 90.00
_cell_angle_gamma 90.00
_space_group_name_H-M_alt 'P 4/m m m'
_space_group_IT_number 123
_space_group_name_Hall '-P 4 2'
loop_
_atom_site_label
_atom_site_fract_x
_atom_site_fract_y
_atom_site_fract_z
Na1 0.000 0.000 0.000
Sr1 0.000 0.000 0.500
Cd1 0.500 0.500 0.000
Cl1 0.000 0.500 0.500
```

Computed properties:
Formation energy without anion corrections in eV/f.u.: -5.28
Total moment in μB per atom: 0.00

# 3
Compound: Na2SrCdCl6
Source: Alexandria via LeMat-Bulk
Functional: PBE
Structure: optimized geometry

Structure (CIF):
```
data_Na2SrCdCl6
_cell_length_a 7.558
_cell_length_b 7.558
_cell_length_c 5.834
_cell_angle_alpha 90.00
_cell_angle_beta 90.00
_cell_angle_gamma 90.00
_space_group_name_H-M_alt 'P 4 m m'
_space_group_IT_number 99
loop_
_space_group_symop_operation_xyz
'x,y,z'
'-y,x,z'
'-x,-y,z'
'y,-x,z'
'-x,y,z'
'y,x,z'
'x,-y,z'
'-y,-x,z'
loop_
_atom_site_label
_atom_site_fract_x
_atom_site_fract_y
_atom_site_fract_z
Na1 0.000 0.500 0.000
Sr1 0.000 0.000 0.710
Cd1 0.500 0.500 0.696
Cl1 0.000 0.000 0.231
Cl2 0.262 0.262 0.819
Cl3 0.500 0.500 0.276
```

Computed properties:
Formation energy without anion corrections in eV/f.u.: -16.76
Total moment in μB per atom: 0.01

# 4
Compound: NaTbCd2Cl8
Source: Alexandria via LeMat-Bulk
Functional: PBE
Structure: optimized geometry

Structure (CIF):
```
data_NaTbCd2Cl8
_cell_length_a 6.197
_cell_length_b 8.104
_cell_length_c 6.467
_cell_angle_alpha 90.00
_cell_angle_beta 90.14
_cell_angle_gamma 90.00
_space_group_name_H-M_alt 'P 1 2/m 1'
_space_group_IT_number 10
loop_
_space_group_symop_operation_xyz
'x,y,z'
'-x,-y,-z'
'-x,y,-z'
'x,-y,z'
loop_
_atom_site_label
_atom_site_fract_x
_atom_site_fract_y
_atom_site_fract_z
Na1 0.000 0.000 0.000
Tb1 0.000 0.500 0.000
Cd1 0.500 0.241 0.500
Cl1 0.231 0.263 0.173
Cl2 0.275 0.500 0.670
Cl3 0.277 0.000 0.660
```

Computed properties:
Formation energy without anion corrections in eV/f.u.: -18.96
Total moment in μB per atom: 0.00

# 5
Compound: NaTbCdCl6
Source: Alexandria via LeMat-Bulk
Functional: PBE
Structure: optimized geometry

Structure (CIF):
```
data_NaTbCdCl6
_cell_length_a 6.8330
_cell_length_b 6.8330
_cell_length_c 12.5977
_cell_angle_alpha 90.00
_cell_angle_beta 90.00
_cell_angle_gamma 120.00
_space_group_name_H-M_alt 'P -3 1 c'
_space_group_IT_number 163
_space_group_name_Hall '-P 3 2c'
loop_
_atom_site_label
_atom_site_fract_x
_atom_site_fract_y
_atom_site_fract_z
Na1 0.0000 0.0000 0.0000
Tb1 0.3333 0.6667 0.2500
Cd1 0.3333 0.6667 0.7500
Cl1 0.9996 0.3532 0.6309
```

Computed properties:
Formation energy without anion corrections in eV/f.u.: -16.00
Total moment in μB per atom: 0.00

# 6
Compound: Na2Tl3CdCl6
Source: Alexandria via LeMat-Bulk
Functional: PBE
Structure: optimized geometry

Structure (CIF):
```
data_Na2Tl3CdCl6
_cell_length_a 7.475
_cell_length_b 12.977
_cell_length_c 7.619
_cell_angle_alpha 90.00
_cell_angle_beta 108.81
_cell_angle_gamma 90.00
_space_group_name_H-M_alt 'C 1 2/m 1'
_space_group_IT_number 12
loop_
_space_group_symop_operation_xyz
'x,y,z'
'-x,-y,-z'
'-x,y,-z'
'x,-y,z'
'x+1/2,y+1/2,z'
'-x+1/2,-y+1/2,-z'
'-x+1/2,y+1/2,-z'
'x+1/2,-y+1/2,z'
loop_
_atom_site_label
_atom_site_fract_x
_atom_site_fract_y
_atom_site_fract_z
Na1 0.000 0.167 0.000
Tl1 0.000 0.000 0.500
Tl2 0.000 0.336 0.500
Cd1 0.000 0.500 0.000
Cl1 0.226 0.000 0.210
Cl2 0.247 0.326 0.221
```

Computed properties:
Formation energy without anion corrections in eV/f.u.: -13.71
Total moment in μB per atom: 0.07

# 7
Compound: Na3Tl3CdCl8
Source: Alexandria via LeMat-Bulk
Functional: PBE
Structure: optimized geometry

Structure (CIF):
```
data_Na3Tl3CdCl8
_cell_length_a 14.380
_cell_length_b 8.293
_cell_length_c 8.847
_cell_angle_alpha 90.00
_cell_angle_beta 122.82
_cell_angle_gamma 90.00
_space_group_name_H-M_alt 'C 1 2/m 1'
_space_group_IT_number 12
loop_
_space_group_symop_operation_xyz
'x,y,z'
'-x,-y,-z'
'-x,y,-z'
'x,-y,z'
'x+1/2,y+1/2,z'
'-x+1/2,-y+1/2,-z'
'-x+1/2,y+1/2,-z'
'x+1/2,-y+1/2,z'
loop_
_atom_site_label
_atom_site_fract_x
_atom_site_fract_y
_atom_site_fract_z
Na1 0.000 0.000 0.000
Na2 0.250 0.250 0.000
Tl1 0.000 0.500 0.500
Tl2 0.250 0.250 0.500
Cd1 0.000 0.500 0.000
Cl1 0.012 0.266 0.800
Cl2 0.223 0.500 0.200
Cl3 0.237 0.000 0.210
```

Computed properties:
Formation energy without anion corrections in eV/f.u.: -20.14
Total moment in μB per atom: 0.00

# 8
Compound: NaTlCd2Cl8
Source: Alexandria via LeMat-Bulk
Functional: PBE
Structure: optimized geometry

Structure (CIF):
```
data_NaTlCd2Cl8
_cell_length_a 6.198
_cell_length_b 7.938
_cell_length_c 6.554
_cell_angle_alpha 90.00
_cell_angle_beta 90.46
_cell_angle_gamma 90.00
_space_group_name_H-M_alt 'P 1 2/m 1'
_space_group_IT_number 10
loop_
_space_group_symop_operation_xyz
'x,y,z'
'-x,-y,-z'
'-x,y,-z'
'x,-y,z'
loop_
_atom_site_label
_atom_site_fract_x
_atom_site_fract_y
_atom_site_fract_z
Na1 0.000 0.000 0.000
Tl1 0.000 0.500 0.000
Cd1 0.500 0.247 0.500
Cl1 0.234 0.263 0.160
Cl2 0.269 0.500 0.655
Cl3 0.279 0.000 0.656
```

Computed properties:
Formation energy without anion corrections in eV/f.u.: -12.44
Total moment in μB per atom: 0.00